[1]
# PBE-GGA TbHoCuTc, relaxed
data_TbHoCuTc
_chemical_formula_sum 'Tb4 Ho4 Cu4 Tc4'
_space_group_name_H-M_alt 'F -4 3 m'
_space_group_IT_number 216
_space_group_name_Hall 'F -4 2 3'
_cell_length_a 6.8825
_cell_length_b 6.8825
_cell_length_c 6.8825
_cell_angle_alpha 90.00
_cell_angle_beta 90.00
_cell_angle_gamma 90.00
loop_
_atom_site_label
_atom_site_fract_x
_atom_site_fract_y
_atom_site_fract_z
Tb1 0.0000 0.0000 0.0000
Ho1 0.0000 0.0000 0.5000
Cu1 0.2500 0.2500 0.7500
Tc1 0.2500 0.2500 0.2500
# Total DFT energy (no corrections): -6.02 eV per atom
# Calculated volume: 326.01 Å³/cell
# ΔH_f (0 K): -98 meV per atom

=====

[2]
# PBE-GGA Ni2AsIr, relaxed
data_Ni2AsIr
_chemical_formula_sum 'Ni2 As1 Ir1'
_space_group_name_H-M_alt 'P m m 2'
_space_group_IT_number 25
_cell_length_a 2.8716
_cell_length_b 4.1100
_cell_length_c 4.4114
_cell_angle_alpha 90.00
_cell_angle_beta 90.00
_cell_angle_gamma 90.00
loop_
_space_group_symop_operation_xyz
'x,y,z'
'-x,-y,z'
'-x,y,z'
'x,-y,z'
loop_
_atom_site_label
_atom_site_fract_x
_atom_site_fract_y
_atom_site_fract_z
Ni1 0.0000 0.0000 0.0000
Ni2 0.0000 0.5000 0.3179
As1 0.5000 0.5000 0.8426
Ir1 0.5000 0.0000 0.4920
# Total DFT energy (no corrections): -6.29 eV per atom
# Calculated volume: 52.06 Å³/cell
# ΔH_f (0 K): -17 meV per atom

=====

[3]
# PBE-GGA Tl6AuSe2, relaxed
data_Tl6AuSe2
_chemical_formula_sum 'Tl6 Au1 Se2'
_space_group_name_H-M_alt 'P -3 1 m'
_space_group_IT_number 162
_space_group_name_Hall '-P 3 2'
_cell_length_a 7.4432
_cell_length_b 7.4432
_cell_length_c 6.4540
_cell_angle_alpha 90.00
_cell_angle_beta 90.00
_cell_angle_gamma 120.00
loop_
_atom_site_label
_atom_site_fract_x
_atom_site_fract_y
_atom_site_fract_z
Tl1 0.0000 0.3583 0.2089
Au1 0.0000 0.0000 0.0000
Se1 0.3333 0.6667 0.5000
# Total DFT energy (no corrections): -2.87 eV per atom
# Calculated volume: 309.66 Å³/cell
# Energy relative to the elements, uncorrected: -0.150 eV/atom

=====

[4]
# PBE-GGA CePd8Au4, relaxed
data_CePd8Au4
_chemical_formula_sum 'Ce2 Pd16 Au8'
_space_group_name_H-M_alt 'I 4/m m m'
_space_group_IT_number 139
_space_group_name_Hall '-I 4 2'
_cell_length_a 9.2411
_cell_length_b 9.2411
_cell_length_c 5.4556
_cell_angle_alpha 90.00
_cell_angle_beta 90.00
_cell_angle_gamma 90.00
loop_
_atom_site_label
_atom_site_fract_x
_atom_site_fract_y
_atom_site_fract_z
Ce1 0.0000 0.0000 0.0000
Pd1 0.0000 0.2132 0.5000
Pd2 0.0000 0.3487 0.0000
Au1 0.2500 0.2500 0.2500
# Total DFT energy (no corrections): -4.88 eV per atom
# Calculated volume: 465.89 Å³/cell
# ΔH_f (0 K): -219 meV per atom

=====

[5]
# PBE-GGA DyPbBr5, relaxed
data_DyPbBr5
_chemical_formula_sum 'Dy4 Pb4 Br20'
_space_group_name_H-M_alt 'C 1 2/c 1'
_space_group_IT_number 15
_cell_length_a 10.8759
_cell_length_b 10.5891
_cell_length_c 10.9965
_cell_angle_alpha 90.00
_cell_angle_beta 116.53
_cell_angle_gamma 90.00
loop_
_space_group_symop_operation_xyz
'x,y,z'
'-x,-y,-z'
'-x,y,-z+1/2'
'x,-y,z+1/2'
'x+1/2,y+1/2,z'
'-x+1/2,-y+1/2,-z'
'-x+1/2,y+1/2,-z+1/2'
'x+1/2,-y+1/2,z+1/2'
loop_
_atom_site_label
_atom_site_fract_x
_atom_site_fract_y
_atom_site_fract_z
Dy1 0.2500 0.2500 0.0000
Pb1 0.0000 0.0810 0.2500
Br1 0.0000 0.2346 0.7500
Br2 0.0982 0.2896 0.1449
Br3 0.2315 0.0099 0.5233
# Total DFT energy (no corrections): -3.79 eV per atom
# Calculated volume: 1133.12 Å³/cell
# Energy relative to the elements, uncorrected: -1.403 eV/atom

=====

[6]
# PBE-GGA FeCuAuN, relaxed
data_FeCuAuN
_chemical_formula_sum 'Fe2 Cu2 Au2 N2'
_space_group_name_H-M_alt 'C 1 m 1'
_space_group_IT_number 8
_cell_length_a 5.1240
_cell_length_b 2.9303
_cell_length_c 7.1032
_cell_angle_alpha 90.00
_cell_angle_beta 104.06
_cell_angle_gamma 90.00
loop_
_space_group_symop_operation_xyz
'x,y,z'
'x,-y,z'
'x+1/2,y+1/2,z'
'x+1/2,-y+1/2,z'
loop_
_atom_site_label
_atom_site_fract_x
_atom_site_fract_y
_atom_site_fract_z
Fe1 0.0000 0.0000 0.0000
Cu1 0.0424 0.5000 0.6487
Au1 0.2734 0.5000 0.3477
N1 0.1438 0.5000 0.9263
# Total DFT energy (no corrections): -5.92 eV per atom
# Calculated volume: 103.46 Å³/cell
# Energy relative to the elements, uncorrected: 0.115 eV/atom

=====

- The lowest calculated volume belongs to which entry?
  Ni2AsIr

=====

- The lowest calculated volume belongs to which entry?
  Ni2AsIr

=====

- Number 5 is which compound?
  DyPbBr5

=====

- Among the records above, which one has the highest calculated volume?
  DyPbBr5